Run a
Hf3AgCl: optimized geometry, PBE.

Summary:
The density of states at the Fermi level comes out at 0.96 states/eV/atom. As for the crystal system: cubic.

Cell: 4.7157 4.7157 4.7157 Å, 90.00 90.00 90.00°
Closest atoms and distances in Å follow each position.
Space group Pm-3m (No. 221)
Unique sites:
Hf  0.0000  0.0000  0.5000  2 Cl 2.36
Ag  0.5000  0.5000  0.5000  12 Hf 3.33
Cl  0.0000  0.0000  0.0000  6 Hf 2.36

Run b
Hf3AgCl: optimized geometry, PBE.

Summary:
The density of states at the Fermi level comes out at 0.73 states/eV/atom. As for the crystal system: cubic.

Cell: 5.1694 5.1694 5.1694 Å, 90.00 90.00 90.00°
Closest atoms and distances in Å follow each position.
Space group Pm-3m (No. 221)
Unique sites:
Hf  0.0000  0.0000  0.5000  2 Ag 2.58
Ag  0.0000  0.0000  0.0000  6 Hf 2.58
Cl  0.5000  0.5000  0.5000  12 Hf 3.66

So which one is most stable? That would be run a, about 79.6 kJ/mol of atoms below the next structure.